Computed, not measured: a relaxed BeZnTe2S crystal at the PBE level of DFT.

Unit cell a=6.5200 b=3.2709 c=7.1902 alpha=90.00 beta=91.61 gamma=90.00
Sites, in units of the cell vectors:
Be 0.0000 0.0000 0.0000
Zn 0.5504 0.0000 0.0157
Te 0.2613 0.0000 0.2660
Te 0.2607 0.0000 0.7476
S 0.8118 0.5000 0.9644

## Properties
* energy above the most stable polymorph in this dataset: 107 meV per atom
* energy: -16.92 eV for the cell shown
* energy relative to the elements, uncorrected: -0.302 eV per atom
* space-group type: Pm